1.
VASP calculation (PBE) on crystalline Al2TcNi at its relaxed geometry.

Calculated values
The formation energy is 0.0448 eV/atom.

a b c (Å): 6.5737 6.5737 5.3803
angles (deg): 90.00 90.00 90.00
Space group I-42d (No. 122)
Inequivalent atoms, fractional coordinates:
Al 0.2203 0.7500 0.1250 [8 per cell]
Tc 0.0000 0.0000 0.5000 [4 per cell]
Ni 0.0000 0.0000 0.0000 [4 per cell]

---

2.
VASP calculation (PBE) on crystalline Ta14TcW at its relaxed geometry.

Calculated values
The formation energy is -0.0658 eV/atom.

a b c (Å): 6.5683 6.5683 6.5997
angles (deg): 90.00 90.00 90.00
Space group P4/mmm (No. 123)
Inequivalent atoms, fractional coordinates:
Ta 0.0000 0.0000 0.0000 [1 per cell]
Ta 0.0000 0.5000 0.0000 [2 per cell]
Ta 0.0000 0.5000 0.5000 [2 per cell]
Ta 0.2487 0.2487 0.2559 [8 per cell]
Ta 0.5000 0.5000 0.0000 [1 per cell]
Tc 0.0000 0.0000 0.5000 [1 per cell]
W 0.5000 0.5000 0.5000 [1 per cell]

---

3.
VASP calculation (PBE) on crystalline BaHf2FeRe at its relaxed geometry.

Calculated values
The formation energy is 3.0972 eV/atom.

a b c (Å): 5.1589 5.1589 4.8542
angles (deg): 90.00 90.00 90.00
Space group P4/mmm (No. 123)
Inequivalent atoms, fractional coordinates:
Ba 0.0000 0.0000 0.0000 [1 per cell]
Hf 0.0000 0.5000 0.0000 [2 per cell]
Fe 0.5000 0.5000 0.5000 [1 per cell]
Re 0.0000 0.0000 0.5000 [1 per cell]

---

4.
VASP calculation (PBE) on crystalline RbOsF2 at its relaxed geometry.

Calculated values
Its offset from the most stable computed form is 576 meV/atom.

a b c (Å): 5.0290 5.0290 14.1132
angles (deg): 90.00 90.00 90.00
Space group I-42d (No. 122)
Inequivalent atoms, fractional coordinates:
Rb 0.0000 0.0000 0.0000 [4 per cell]
Os 0.0000 0.0000 0.5000 [4 per cell]
F 0.1087 0.2500 0.6250 [8 per cell]

---

5.
VASP calculation (PBE) on crystalline TiGe2IrW at its relaxed geometry.

Calculated values
The formation energy is 1.3789 eV/atom.

a b c (Å): 4.6686 4.6686 4.5147
angles (deg): 90.00 90.00 90.00
Space group P4/mmm (No. 123)
Inequivalent atoms, fractional coordinates:
Ti 0.0000 0.0000 0.0000 [1 per cell]
Ge 0.0000 0.5000 0.0000 [2 per cell]
Ir 0.0000 0.0000 0.5000 [1 per cell]
W 0.5000 0.5000 0.5000 [1 per cell]

---

6.
VASP calculation (PBE) on crystalline SrCrPt2 at its relaxed geometry.

Calculated values
Its offset from the most stable computed form is 501 meV/atom. The formation energy is 0.0698 eV/atom.

a b c (Å): 5.1675 5.1675 15.6951
angles (deg): 90.00 90.00 90.00
Space group I-42d (No. 122)
Inequivalent atoms, fractional coordinates:
Sr 0.0000 0.0000 0.0000 [4 per cell]
Cr 0.0000 0.0000 0.5000 [4 per cell]
Pt 0.0341 0.2500 0.6250 [8 per cell]

---

Number 1: mass density 6.02 g/cm3. Number 2: mass density 16.42 g/cm3. Number 3: mass density 9.46 g/cm3. Number 4: mass density 5.84 g/cm3. Number 5: mass density 9.61 g/cm3. Number 6: mass density 8.40 g/cm3.